Entry 1:
Computed, not measured: an optimized crystal structure of InSbO2 at the PBEsol level of DFT.

## Properties
ΔE_f (raw): -19.2 kcal/mol of atoms
SG: R-3m
DOS at the Fermi energy: 0.18 states/eV per atom
relative energy among the computed polymorphs: 0.386 eV/atom

Unit cell a=3.401 b=3.401 c=7.273 alpha=76.48 beta=76.48 gamma=60.00
Fractional coordinates of all 4 atoms:
Sb 0.500 0.500 0.500
O 0.890 0.890 0.329
O 0.110 0.110 0.671
In 0.000 0.000 0.000

Entry 2:
Computed, not measured: an optimized crystal structure of NaLi2As2 at the PBEsol level of DFT.

## Properties
formation energy from the elements: -0.461 eV per atom
SG: P4/mbm
DOS at the Fermi energy: 0.37 states/eV per atom

Unit cell a=2.770 b=7.964 c=7.964 alpha=90.00 beta=90.00 gamma=90.00
Fractional coordinates of all 10 atoms:
Na 0.000 0.000 0.000
Na 0.000 0.500 0.500
As 0.000 0.332 0.832
As 0.000 0.832 0.668
As 0.000 0.668 0.168
As 0.000 0.168 0.332
Li 0.500 0.125 0.625
Li 0.500 0.625 0.875
Li 0.500 0.875 0.375
Li 0.500 0.375 0.125

Entry 3:
Computed, not measured: an optimized crystal structure of PIOF2 at the PBEsol level of DFT.

## Properties
ΔE_f (raw): 3.0 kcal/mol of atoms
SG: P4/mmm
DOS at the Fermi energy: 0.85 states/eV per atom

Unit cell a=3.972 b=4.708 c=4.708 alpha=90.00 beta=90.00 gamma=90.00
Fractional coordinates of all 5 atoms:
I 0.000 0.000 0.000
P 0.500 0.500 0.500
O 0.500 0.000 0.000
F 0.000 0.000 0.500
F 0.000 0.500 0.000

Entry 4:
Computed, not measured: an optimized crystal structure of LiNiIr2 at the PBEsol level of DFT.

## Properties
formation energy from the elements: -0.038 eV per atom
SG: C2/m
DOS at the Fermi energy: 1.28 states/eV per atom
relative energy among the computed polymorphs: 0.004 eV/atom

Unit cell a=2.645 b=4.499 c=4.541 alpha=99.77 beta=90.00 gamma=107.09
Fractional coordinates of all 4 atoms:
Ni 0.500 0.000 0.000
Ir 0.763 0.525 0.755
Ir 0.237 0.475 0.245
Li 0.000 0.000 0.500

Entry 5:
Computed, not measured: an optimized crystal structure of TlFeNi at the PBEsol level of DFT.

## Properties
formation energy from the elements: 0.468 eV per atom
SG: F-43m
DOS at the Fermi energy: 0.24 states/eV per atom

Unit cell a=4.110 b=4.110 c=4.110 alpha=60.00 beta=60.00 gamma=60.00
Fractional coordinates of all 3 atoms:
Fe 0.500 0.500 0.500
Ni 0.250 0.250 0.250
Tl 0.000 0.000 0.000

Entry 6:
Computed, not measured: an optimized crystal structure of LaAl2Co at the PBEsol level of DFT.

## Properties
formation energy from the elements: -0.220 eV per atom
SG: P4mm
DOS at the Fermi energy: 0.54 states/eV per atom

Unit cell a=3.117 b=3.117 c=7.315 alpha=90.00 beta=90.00 gamma=90.00
Fractional coordinates of all 4 atoms:
Co 0.000 0.000 0.431
Al 0.000 0.000 0.059
Al 0.500 0.500 0.291
La 0.500 0.500 0.719

Entry 7:
Computed, not measured: an optimized crystal structure of BaSnO3 at the PBEsol level of DFT.

## Properties
ΔE_f (raw): -51.6 kcal/mol of atoms
SG: Imma

Unit cell a=5.846 b=5.846 c=5.846 alpha=60.00 beta=60.04 gamma=60.00
Fractional coordinates of all 10 atoms:
Ba 0.250 0.750 0.250
Ba 0.750 0.250 0.750
O 0.762 0.750 0.738
O 0.238 0.250 0.262
O 0.744 0.756 0.244
O 0.256 0.244 0.756
O 0.744 0.256 0.244
O 0.256 0.744 0.756
Sn 0.000 0.500 0.000
Sn 0.500 0.000 0.500

Entry 8:
Computed, not measured: an optimized crystal structure of Cd3Cu at the PBEsol level of DFT.

## Properties
formation energy from the elements: 0.061 eV per atom
SG: P-6m2
DOS at the Fermi energy: 0.31 states/eV per atom

Unit cell a=3.032 b=3.032 c=9.113 alpha=90.00 beta=90.00 gamma=120.00
Fractional coordinates of all 4 atoms:
Cu 0.000 0.000 0.500
Cd 0.333 0.667 0.275
Cd 0.333 0.667 0.725
Cd 0.000 0.000 0.000